Below is a relaxed CaPtCl crystal, with properties calculated at the PBE level.

Values from the calculation:
V: 72.4 Å³ per cell
Symmetry: No. 156
Calculated total energy: -4.1184 eV/atom
Energy relative to the elements, uncorrected: -822 meV/atom

a b c (Å): 3.474 3.474 6.927
angles (deg): 90.00 90.00 120.00
Fractional coordinates of all 3 atoms:
Ca1 0.000 0.000 0.016
Cl1 0.333 0.667 0.270
Pt1 0.667 0.333 0.715